No. 1
Here is a relaxed KYCl4 crystal from the Alexandria database. Energies are from GGA-PBE.

Unit cell a=7.747 b=6.896 c=7.325 alpha=90.00 beta=100.67 gamma=90.00
Space group P2_1/c (No. 14)
One atom of each set of equivalent atoms:
K 0.000 0.000 0.000 x2
Y 0.500 0.000 0.500 x2
Cl 0.184 0.131 0.396 x4
Cl 0.391 0.687 0.284 x4

Results
- E_form (uncorrected) (kcal/mol of atoms) = -50.26

=====

No. 2
Here is a relaxed NdEuPdAu crystal from the Alexandria database. Energies are from GGA-PBE.

Unit cell a=7.343 b=7.343 c=7.343 alpha=90.00 beta=90.00 gamma=90.00
Space group F-43m (No. 216)
One atom of each set of equivalent atoms:
Nd 0.000 0.000 0.000 x4
Eu 0.000 0.000 0.500 x4
Pd 0.250 0.250 0.750 x4
Au 0.250 0.250 0.250 x4

Results
- formation energy from the elements (eV per atom) = -0.727

=====

No. 3
Here is a relaxed BaSc2P crystal from the Alexandria database. Energies are from GGA-PBE.

Unit cell a=6.478 b=10.603 c=3.622 alpha=90.00 beta=123.50 gamma=90.00
Space group C2/m (No. 12)
One atom of each set of equivalent atoms:
Ba 0.000 0.000 0.000 x2
Sc 0.250 0.250 0.500 x4
P 0.000 0.500 0.000 x2

Results
- formation energy from the elements (eV per atom) = 0.055

=====

No. 4
Here is a relaxed HoEr2Sc6 crystal from the Alexandria database. Energies are from GGA-PBE.

Unit cell a=9.1431 b=9.1431 c=3.2857 alpha=90.00 beta=90.00 gamma=120.00
Space group P6/mmm (No. 191)
One atom of each set of equivalent atoms:
Ho 0.0000 0.0000 0.0000 x1
Er 0.3333 0.6667 0.0000 x2
Sc 0.0000 0.3336 0.5000 x6

Results
- formation energy from the elements (eV per atom) = 0.064

=====

No. 5
Here is a relaxed CdCo2Rh2 crystal from the Alexandria database. Energies are from GGA-PBE.

Unit cell a=3.373 b=3.373 c=13.355 alpha=90.00 beta=90.00 gamma=90.00
Space group I4/mmm (No. 139)
One atom of each set of equivalent atoms:
Cd 0.000 0.000 0.000 x2
Co 0.000 0.500 0.250 x4
Rh 0.000 0.000 0.391 x4

Results
- formation energy from the elements (eV per atom) = 0.262

=====

No. 6
Here is a relaxed VZn2Cd crystal from the Alexandria database. Energies are from GGA-PBE.

Unit cell a=2.770 b=2.770 c=8.331 alpha=90.00 beta=90.00 gamma=90.00
Space group P4/mmm (No. 123)
One atom of each set of equivalent atoms:
V 0.000 0.000 0.000 x1
Zn 0.500 0.500 0.225 x2
Cd 0.000 0.000 0.500 x1

Results
- formation energy from the elements (eV per atom) = 0.090

=====

No. 7
Here is a relaxed MnIn2W crystal from the Alexandria database. Energies are from GGA-PBE.

Unit cell a=3.0094 b=3.0094 c=28.0899 alpha=90.00 beta=90.00 gamma=120.00
Space group R-3m (No. 166, hexagonal axes)
One atom of each set of equivalent atoms:
Mn 0.0000 0.0000 0.0000 x3
In 0.0000 0.0000 0.2521 x6
W 0.0000 0.0000 0.5000 x3

Results
- formation energy from the elements (eV per atom) = 0.508

=====

No. 8
Here is a relaxed PrPu5Se8 crystal from the Alexandria database. Energies are from GGA-PBE.

Unit cell a=8.804 b=8.804 c=8.791 alpha=90.00 beta=90.00 gamma=90.00
Space group I-4 (No. 82)
One atom of each set of equivalent atoms:
Pr 0.000 0.000 0.000 x2
Pu 0.000 0.500 0.250 x2
Pu 0.127 0.250 0.625 x8
Se 0.074 0.177 0.303 x8
Se 0.075 0.328 0.948 x8

Results
- E_form (uncorrected) (kcal/mol of atoms) = -37.27

=====

Number 1: mass density 2.33 g/cm³. Number 2: mass density 10.06 g/cm³. Number 3: mass density 4.13 g/cm³. Number 4: mass density 5.37 g/cm³. Number 5: mass density 9.53 g/cm³. Number 6: mass density 7.64 g/cm³. Number 7: mass density 10.59 g/cm³. Number 8: mass density 9.71 g/cm³.